a) KCd2Fe (SCAN, PBEsol geometry); space group = No. 123; total magnetization = 0.74 μB per atom; ρ = 5.88 Mg/m³
1.0
4.620 0.000 0.000
0.000 4.620 0.000
0.000 0.000 4.233
K Cd Fe
1 2 1
direct
0.000 0.000 0.000
0.000 0.500 0.500
0.500 0.000 0.500
0.500 0.500 0.000

***

b) KCd2Fe (SCAN, PBEsol geometry); space group = No. 139; total magnetization = 0.77 μB per atom; ρ = 5.90 Mg/m³
1.0
-2.505 2.505 3.587
2.505 -2.505 3.587
2.505 2.505 -3.587
K Cd Fe
1 2 1
direct
0.000 0.000 0.000
0.250 0.750 0.500
0.750 0.250 0.500
0.500 0.500 0.000

***

c) KCd2Fe (SCAN, PBEsol geometry); space group = No. 99; total magnetization = 0.71 μB per atom; ρ = 5.30 Mg/m³
1.0
3.553 0.000 0.000
0.000 3.553 0.000
0.000 0.000 7.934
K Cd Fe
1 2 1
direct
0.000 0.000 0.000
0.000 0.000 0.564
0.500 0.500 0.324
0.500 0.500 0.664

***

Least stable = a)

***

a) MnCd2Fe (SCAN, PBEsol geometry); space group = No. 47; total magnetization = 1.62 μB per atom; ρ = 8.94 Mg/m³
1.0
2.821 0.000 0.000
0.000 3.926 0.000
0.000 0.000 5.627
Mn Cd Fe
1 2 1
direct
0.000 0.000 0.000
0.500 0.500 0.253
0.500 0.500 0.747
0.000 0.000 0.500

***

b) MnCd2Fe (SCAN, PBEsol geometry); space group = No. 216; total magnetization = 1.53 μB per atom; ρ = 8.90 Mg/m³
1.0
0.000 3.151 3.151
3.151 0.000 3.151
3.151 3.151 0.000
Mn Cd Fe
1 2 1
direct
0.000 0.000 0.000
0.500 0.500 0.500
0.750 0.750 0.750
0.250 0.250 0.250

***

Least stable = b)

***

a) Cd2FeMo (SCAN, PBEsol geometry); space group = No. 99; total magnetization = 0.28 μB per atom; ρ = 9.73 Mg/m³
1.0
2.907 0.000 0.000
0.000 2.907 0.000
0.000 0.000 7.602
Cd Fe Mo
2 1 1
direct
0.000 0.000 0.000
0.500 0.500 0.302
0.000 0.000 0.549
0.500 0.500 0.717

***

b) Cd2FeMo (SCAN, PBEsol geometry); space group = No. 139; total magnetization = 0.81 μB per atom; ρ = 9.65 Mg/m³
1.0
-1.944 1.944 4.289
1.944 -1.944 4.289
1.944 1.944 -4.289
Cd Fe Mo
2 1 1
direct
0.250 0.750 0.500
0.750 0.250 0.500
0.000 0.000 0.000
0.500 0.500 0.000

***

c) Cd2FeMo (SCAN, PBEsol geometry); space group = No. 216; total magnetization = 0.21 μB per atom; ρ = 9.77 Mg/m³
1.0
0.000 3.175 3.175
3.175 0.000 3.175
3.175 3.175 0.000
Cd Fe Mo
2 1 1
direct
0.000 0.000 0.000
0.250 0.250 0.250
0.750 0.750 0.750
0.500 0.500 0.500

***

Least stable = b)

***

a) Cd2FeNi (SCAN, PBEsol geometry); space group = No. 139; total magnetization = 0.74 μB per atom; ρ = 9.41 Mg/m³
1.0
-2.061 2.061 3.525
2.061 -2.061 3.525
2.061 2.061 -3.525
Cd Fe Ni
2 1 1
direct
0.250 0.750 0.500
0.750 0.250 0.500
0.000 0.000 0.000
0.500 0.500 0.000

***

b) Cd2FeNi (SCAN, PBEsol geometry); space group = No. 12; total magnetization = 0.83 μB per atom; ρ = 9.28 Mg/m³
1.0
4.504 -1.408 0.000
4.504 1.408 0.000
-0.925 0.000 4.787
Cd Fe Ni
2 1 1
direct
0.246 0.246 0.246
0.754 0.754 0.754
0.000 0.000 0.500
0.500 0.500 0.000

***

c) Cd2FeNi (SCAN, PBEsol geometry); space group = No. 216; total magnetization = 0.87 μB per atom; ρ = 9.31 Mg/m³
1.0
0.000 3.117 3.117
3.117 0.000 3.117
3.117 3.117 0.000
Cd Fe Ni
2 1 1
direct
0.000 0.000 0.000
0.250 0.250 0.250
0.750 0.750 0.750
0.500 0.500 0.500

***

Least stable = b)